No. 1
This record from Alexandria via LeMat-Bulk describes a relaxed DyBiO3 crystal. The functional is GGA-PBE.

The value obtained for the formation energy without anion corrections is -2336 meV per atom. Its total DFT energy (no corrections) is -140.1 eV per cell. The density of states at the Fermi level comes out at 0.0 states/eV per cell.

The structure belongs to space group P2_1/c (No. 14); the cell edges are 7.261, 5.781 and 7.228 Å and the angles 90.00°, 95.65° and 90.00°. The distinct sites, in fractional coordinates, are Dy at (0.111, 0.250, 0.393), Bi at (0.357, 0.750, 0.295), O at (0.150, 0.506, 0.140), O at (0.150, 0.506, 0.641) and O at (0.434, 0.249, 0.891).



No. 2
This record from Alexandria via LeMat-Bulk describes a relaxed LaMgCr2 crystal. The functional is GGA-PBE.

Its total DFT energy (no corrections) is -48.2 eV per cell. The density of states at the Fermi level comes out at 5.3 states/eV per cell. The formation energy is 1.6 eV/f.u.

The structure belongs to space group Imm2 (No. 44); the cell edges are 4.266, 5.217 and 8.098 Å and the angles 90.00°, 90.00° and 90.00°. The distinct sites, in fractional coordinates, are La at (0.000, 0.000, 0.000), Mg at (0.000, 0.500, 0.792), Cr at (0.000, 0.000, 0.564) and Cr at (0.000, 0.500, 0.223).



No. 3
This record from Alexandria via LeMat-Bulk describes a relaxed SrTcIr crystal. The functional is GGA-PBE.

Its total DFT energy (no corrections) is -82.4 eV per cell. The density of states at the Fermi level comes out at 9.5 states/eV per cell. The formation energy is 0.3 eV/f.u. The relative energy among the computed polymorphs comes out at 0.298 eV/f.u.

The structure belongs to space group Cm (No. 8); the cell edges are 11.786, 4.093 and 7.540 Å and the angles 90.00°, 127.44° and 90.00°. The distinct sites, in fractional coordinates, are Sr at (0.000, 0.000, 0.000), Sr at (0.158, 0.000, 0.576), Tc at (0.329, 0.000, 0.180), Tc at (0.453, 0.000, 0.606), Ir at (0.198, 0.500, 0.956) and Ir at (0.327, 0.500, 0.399).



No. 4
This record from Alexandria via LeMat-Bulk describes a relaxed Pm4Dy6Y19 crystal. The functional is GGA-PBE.

Its total DFT energy (no corrections) is -316.7 eV per cell. The density of states at the Fermi level comes out at 84.9 states/eV per cell. The formation energy is 11.1 eV/f.u.

The structure belongs to space group I23 (No. 197); the cell edges are 12.512, 12.512 and 12.512 Å and the angles 90.00°, 90.00° and 90.00°. The distinct sites, in fractional coordinates, are Pm at (0.180, 0.180, 0.180), Dy at (0.000, 0.124, 0.500), Y at (0.000, 0.000, 0.000), Y at (0.000, 0.000, 0.261) and Y at (0.061, 0.279, 0.734).